1.
Below is crystalline Ac2Ga4CuHg3 at its relaxed geometry, with properties calculated at the GGA-PBE level.

Cell: 4.6033 4.6033 11.1079 Å, 90.00 90.00 90.00°
With the nearest neighbours (Å) after each atom.
Sites, in units of the cell vectors:
Ac 0.0000 0.5000 0.2404  8 Ga 3.52-3.69, 6 Hg 3.52-3.53, 2 Cu 3.53
Ac 0.5000 0.0000 0.7596  8 Ga 3.52-3.69, 6 Hg 3.52-3.53, 2 Cu 3.53
Ga 0.0000 0.0000 0.5000  4 Hg 2.77
Ga 0.0000 0.5000 0.8796  3 Hg 2.66-2.67, 2 Cu 2.66
Ga 0.5000 0.0000 0.1204  2 Cu 2.66, 3 Hg 2.66-2.67
Ga 0.5000 0.5000 0.5000  4 Hg 2.77
Cu 0.5000 0.5000 0.0000  4 Ga 2.66
Hg 0.0000 0.0000 0.0000  4 Ga 2.66
Hg 0.0000 0.5000 0.6390  5 Ga 2.67-2.77
Hg 0.5000 0.0000 0.3610  5 Ga 2.67-2.77

Computed properties:
**DOS at the Fermi energy**: 0.319 states/eV per atom
**Magnetization**: 0.00 μB per formula unit
**DFT total energy**: -2.904 eV/atom

2.
Below is crystalline RbI3Br at its relaxed geometry, with properties calculated at the GGA-PBE level.

Cell: 7.0796 7.0796 7.0796 Å, 90.00 90.00 90.00°
With the nearest neighbours (Å) after each atom.
Sites, in units of the cell vectors:
Rb 0.0000 0.0000 0.0000  6 I 3.54
I 0.0000 0.0000 0.5000  2 Rb 3.54
I 0.0000 0.5000 0.0000  2 Rb 3.54
I 0.5000 0.0000 0.0000  2 Rb 3.54
Br 0.5000 0.5000 0.5000  12 I 5.01

Computed properties:
**Energy above the most stable polymorph in this dataset**: 579 meV/atom
**ΔE_f (raw)**: 98 meV per atom
**DOS at the Fermi energy**: 5.256 states/eV per atom
**Magnetization**: 3.00 μB per formula unit

3.
Below is crystalline LiHf2B2 at its relaxed geometry, with properties calculated at the GGA-PBE level.

Cell: 6.2295 6.2295 3.3696 Å, 90.00 90.00 90.00°
With the nearest neighbours (Å) after each atom.
Sites, in units of the cell vectors:
Li 0.0000 0.0000 0.0000  4 B 2.58, 8 Hf 2.83
Li 0.5000 0.5000 0.0000  4 B 2.58, 8 Hf 2.83
Hf 0.1855 0.3145 0.5000  6 B 2.50-2.54
Hf 0.3145 0.8145 0.5000  6 B 2.50-2.54
Hf 0.6855 0.1855 0.5000  6 B 2.50-2.54
Hf 0.8145 0.6855 0.5000  6 B 2.50-2.54
B 0.0980 0.5980 0.0000  1 B 1.73
B 0.4020 0.0980 0.0000  1 B 1.73
B 0.5980 0.9020 0.0000  1 B 1.73
B 0.9020 0.4020 0.0000  1 B 1.73

Computed properties:
**DOS at the Fermi energy**: 0.716 states/eV per atom
**Magnetization**: 0.00 μB per formula unit
**DFT total energy**: -7.491 eV/atom

4.
Below is crystalline TiNbMo2 at its relaxed geometry, with properties calculated at the GGA-PBE level.

Cell: 5.7465 5.7465 5.7465 Å, 103.09 103.09 123.16°
With the nearest neighbours (Å) after each atom.
Sites, in units of the cell vectors:
Ti 0.0000 0.0000 0.0000  4 Mo 2.61, 2 Nb 2.73
Ti 0.7500 0.2500 0.5000  4 Mo 2.61, 2 Nb 2.73
Nb 0.2500 0.7500 0.5000  4 Mo 2.63, 2 Ti 2.73
Nb 0.5000 0.5000 0.0000  4 Mo 2.63, 2 Ti 2.73
Mo 0.1224 0.1250 0.4974  2 Ti 2.61, 2 Nb 2.63, 2 Mo 2.74
Mo 0.3750 0.8776 0.0026  2 Ti 2.61, 2 Nb 2.63, 2 Mo 2.74
Mo 0.6276 0.6250 0.5026  2 Ti 2.61, 2 Nb 2.63, 2 Mo 2.74
Mo 0.8750 0.3724 0.9974  2 Ti 2.61, 2 Nb 2.63, 2 Mo 2.74

Computed properties:
**Energy above the most stable polymorph in this dataset**: 673 meV/atom
**DOS at the Fermi energy**: 1.205 states/eV per atom
**Magnetization**: 0.00 μB per formula unit

5.
Below is crystalline NiIrPt2 at its relaxed geometry, with properties calculated at the GGA-PBE level.

Cell: 4.7215 4.7215 4.7210 Å, 100.22 100.22 33.78°
With the nearest neighbours (Å) after each atom.
Sites, in units of the cell vectors:
Ni 0.0000 0.0000 0.0000  3 Ir 2.64-2.82, 7 Pt 2.69-2.78, 2 Ni 2.74
Ir 0.2610 0.2610 0.7540  3 Ni 2.64-2.82, 7 Pt 2.68-2.77, 2 Ir 2.74
Pt 0.5080 0.5080 0.5138  3 Ir 2.68-2.73, 4 Ni 2.69-2.78, 5 Pt 2.73-2.81
Pt 0.7488 0.7488 0.2399  4 Ir 2.69-2.77, 3 Ni 2.70-2.72, 5 Pt 2.73-2.81

Computed properties:
**Energy above the most stable polymorph in this dataset**: 31 meV/atom
**DOS at the Fermi energy**: 1.625 states/eV per atom
**Magnetization**: 1.32 μB per formula unit

6.
Below is crystalline Li4Te2S at its relaxed geometry, with properties calculated at the GGA-PBE level.

Cell: 7.4615 7.4615 7.4615 Å, 139.92 139.92 57.97°
With the nearest neighbours (Å) after each atom.
Sites, in units of the cell vectors:
Li 0.0000 0.5000 0.5000  2 S 2.56
Li 0.1694 0.1694 0.0000  1 S 2.21
Li 0.5000 0.0000 0.5000  2 S 2.56
Li 0.8306 0.8306 0.0000  1 S 2.21
Te 0.3883 0.3883 0.0000  5 Li 2.86-2.94, 1 Te 2.92
Te 0.6117 0.6117 0.0000  5 Li 2.86-2.94, 1 Te 2.92
S 0.0000 0.0000 0.0000  2 Li 2.21

Computed properties:
**ΔE_f (raw)**: -702 meV per atom
**DOS at the Fermi energy**: 0.240 states/eV per atom
**Magnetization**: 0.00 μB per formula unit

7.
Below is crystalline TbSm2Tl at its relaxed geometry, with properties calculated at the GGA-PBE level.

Cell: 3.6513 3.6513 9.3736 Å, 90.00 90.00 90.00°
With the nearest neighbours (Å) after each atom.
Sites, in units of the cell vectors:
Tb 0.0000 0.0000 0.0000  8 Sm 3.62, 4 Tb 3.65
Sm 0.5000 0.5000 0.2703  4 Tl 3.36, 4 Tb 3.62, 4 Sm 3.65
Sm 0.5000 0.5000 0.7297  4 Tl 3.36, 4 Tb 3.62, 4 Sm 3.65
Tl 0.0000 0.0000 0.5000  8 Sm 3.36, 4 Tl 3.65

Computed properties:
**Energy above the most stable polymorph in this dataset**: 37 meV/atom
**DOS at the Fermi energy**: 1.322 states/eV per atom
**Magnetization**: 0.00 μB per formula unit

8.
Below is crystalline ZrMo2Cl at its relaxed geometry, with properties calculated at the GGA-PBE level.

Cell: 5.2865 5.2865 5.2865 Å, 143.68 120.54 71.71°
With the nearest neighbours (Å) after each atom.
Sites, in units of the cell vectors:
Zr 0.0000 0.0000 0.0000  2 Cl 2.67
Mo 0.4786 0.4786 0.0000  2 Mo 2.45, 2 Cl 2.59
Mo 0.6900 0.1900 0.5000  2 Mo 2.45
Cl 0.2457 0.7457 0.5000  2 Mo 2.59, 2 Zr 2.67

Computed properties:
**Energy above the most stable polymorph in this dataset**: 526 meV/atom
**ΔE_f (raw)**: 368 meV per atom
**DOS at the Fermi energy**: 1.051 states/eV per atom
**Magnetization**: 0.00 μB per formula unit

9.
Below is crystalline CdAgSb2 at its relaxed geometry, with properties calculated at the GGA-PBE level.

Cell: 5.9190 5.9190 5.9190 Å, 136.27 136.27 63.56°
With the nearest neighbours (Å) after each atom.
Sites, in units of the cell vectors:
Cd 0.0000 0.0000 0.0000  8 Sb 3.12-3.34, 4 Ag 3.34
Ag 0.7500 0.2500 0.5000  8 Sb 3.12-3.34, 4 Cd 3.34
Sb 0.2500 0.7500 0.5000  4 Ag 3.12, 4 Sb 3.34, 4 Cd 3.34
Sb 0.5000 0.5000 0.0000  4 Cd 3.12, 4 Sb 3.34, 4 Ag 3.34

Computed properties:
**Energy above the most stable polymorph in this dataset**: 97 meV/atom
**ΔE_f (raw)**: 175 meV per atom
**DOS at the Fermi energy**: 0.498 states/eV per atom
**Magnetization**: 0.00 μB per formula unit

10.
Below is crystalline YOsPd2 at its relaxed geometry, with properties calculated at the GGA-PBE level.

Cell: 9.7495 9.7495 9.7495 Å, 155.87 155.87 34.39°
With the nearest neighbours (Å) after each atom.
Sites, in units of the cell vectors:
Y 0.0000 0.0000 0.0000  4 Pd 2.79, 4 Os 2.88
Y 0.7500 0.2500 0.5000  4 Pd 2.79, 4 Os 2.88
Os 0.2500 0.7500 0.5000  4 Pd 2.69, 4 Y 2.88
Os 0.5000 0.5000 0.0000  4 Pd 2.69, 4 Y 2.88
Pd 0.1567 0.6250 0.0317  2 Os 2.69, 2 Pd 2.71, 2 Y 2.79
Pd 0.3750 0.4067 0.5317  2 Os 2.69, 2 Pd 2.71, 2 Y 2.79
Pd 0.5933 0.1250 0.9683  2 Os 2.69, 2 Pd 2.71, 2 Y 2.79
Pd 0.8750 0.8433 0.4683  2 Os 2.69, 2 Pd 2.71, 2 Y 2.79

Computed properties:
**Energy above the most stable polymorph in this dataset**: 187 meV/atom
**DOS at the Fermi energy**: 1.182 states/eV per atom
**Magnetization**: 0.08 μB per formula unit

11.
Below is crystalline BaLiPd at its relaxed geometry, with properties calculated at the GGA-PBE level.

Cell: 4.4779 4.4779 7.9509 Å, 90.00 90.00 90.00°
With the nearest neighbours (Å) after each atom.
Sites, in units of the cell vectors:
Ba 0.2500 0.2500 0.1723  5 Pd 3.30-3.66, 4 Li 3.44
Ba 0.7500 0.7500 0.8277  5 Pd 3.30-3.66, 4 Li 3.44
Li 0.2500 0.7500 0.5000  4 Pd 2.80
Li 0.7500 0.2500 0.5000  4 Pd 2.80
Pd 0.2500 0.2500 0.7117  4 Li 2.80
Pd 0.7500 0.7500 0.2883  4 Li 2.80

Computed properties:
**Energy above the most stable polymorph in this dataset**: 0 meV/atom
**DOS at the Fermi energy**: 0.581 states/eV per atom
**Magnetization**: 0.00 μB per formula unit

12.
Below is crystalline Re2HIrRh at its relaxed geometry, with properties calculated at the GGA-PBE level.

Cell: 3.9031 3.9031 3.9714 Å, 90.00 90.00 90.00°
With the nearest neighbours (Å) after each atom.
Sites, in units of the cell vectors:
Re 0.0000 0.5000 0.0000  2 H 1.95
Re 0.5000 0.0000 0.0000  2 H 1.95
H 0.0000 0.0000 0.0000  4 Re 1.95, 2 Rh 1.99
Ir 0.5000 0.5000 0.5000  4 Rh 2.76, 8 Re 2.78
Rh 0.0000 0.0000 0.5000  2 H 1.99

Computed properties:
**DOS at the Fermi energy**: 0.803 states/eV per atom
**Magnetization**: 0.00 μB per formula unit
**DFT total energy**: -8.832 eV/atom